Density functional theory data (GGA-PBEsol) for a geometry-optimized Li2InRe structure.

DOS at the Fermi energy ... 0.474 states/eV per atom
M_tot ... 0.0 μB per cell
VASP energy ... -4.7663 eV per atom

a = 10.3173 Å, b = 2.6772 Å, c = 5.1553 Å
α = 90.00°, β = 116.75°, γ = 90.00°
Element x y z (fractional)
Li 0.0000 0.0000 0.0000
Li 0.2429 0.0000 0.9375
Li 0.5000 0.5000 0.0000
Li 0.7429 0.5000 0.9375
In 0.4941 0.0000 0.4912
In 0.9941 0.5000 0.4912
Re 0.2458 0.5000 0.4439
Re 0.7458 0.0000 0.4439